This record from Alexandria via LeMat-Bulk describes a geometry-optimized PmTmMgGa structure. The functional is PBE-GGA.

Computed properties:
D(E_F) ... 0.57 states/eV per atom
Energy of formation from the pure elements ... -330 meV/atom
M_tot ... 0.00 μB/f.u.
Theoretical density ... 6.83 g/cm3
Total DFT energy (no corrections) ... -3.791 eV per atom
Volume ... 99.2 Å³/cell

a = 5.1953 Å, b = 5.1953 Å, c = 5.1953 Å
α = 60.00°, β = 60.00°, γ = 60.00°
Fractional coordinates of all 4 atoms:
Pm 0.5000 0.5000 0.5000
Tm 0.0000 0.0000 0.0000
Ga 0.2500 0.2500 0.2500
Mg 0.7500 0.7500 0.7500


This record from Alexandria via LeMat-Bulk describes a geometry-optimized PmYMgGa structure. The functional is PBE-GGA.

Computed properties:
D(E_F) ... 0.60 states/eV per atom
Energy of formation from the pure elements ... -357 meV/atom
M_tot ... 0.00 μB/f.u.
Theoretical density ... 5.36 g/cm3
Total DFT energy (no corrections) ... -4.316 eV per atom
Volume ... 101.5 Å³/cell

a = 5.2362 Å, b = 5.2362 Å, c = 5.2362 Å
α = 60.00°, β = 60.00°, γ = 60.00°
Fractional coordinates of all 4 atoms:
Y 0.7500 0.7500 0.7500
Ga 0.0000 0.0000 0.0000
Pm 0.2500 0.2500 0.2500
Mg 0.5000 0.5000 0.5000


This record from Alexandria via LeMat-Bulk describes a geometry-optimized Pm2MgZn3Ga4 structure. The functional is PBE-GGA.

Computed properties:
D(E_F) ... 0.20 states/eV per atom
Energy of formation from the pure elements ... -455 meV/atom
M_tot ... 0.00 μB/f.u.
Theoretical density ... 6.65 g/cm3
Total DFT energy (no corrections) ... -3.157 eV per atom
Volume ... 197.3 Å³/cell

a = 4.2639 Å, b = 4.2639 Å, c = 10.8493 Å
α = 90.00°, β = 90.00°, γ = 90.00°
Fractional coordinates of all 10 atoms:
Zn 0.0000 0.5000 0.1325
Zn 0.0000 0.0000 0.5000
Zn 0.5000 0.0000 0.8675
Ga 0.5000 0.0000 0.6443
Ga 0.0000 0.5000 0.3557
Ga 0.0000 0.0000 0.0000
Ga 0.5000 0.5000 0.0000
Pm 0.0000 0.5000 0.7585
Pm 0.5000 0.0000 0.2415
Mg 0.5000 0.5000 0.5000


This record from Alexandria via LeMat-Bulk describes a geometry-optimized PmMgZn2Ga2 structure. The functional is PBE-GGA.

Computed properties:
D(E_F) ... 0.35 states/eV per atom
Energy of formation from the pure elements ... -419 meV/atom
M_tot ... 0.00 μB/f.u.
Theoretical density ... 6.26 g/cm3
Total DFT energy (no corrections) ... -2.910 eV per atom
Volume ... 116.6 Å³/cell

a = 4.3963 Å, b = 4.3963 Å, c = 6.9649 Å
α = 90.00°, β = 90.00°, γ = 120.00°
Fractional coordinates of all 6 atoms:
Ga 0.6667 0.3333 0.7395
Ga 0.3333 0.6667 0.2605
Zn 0.3333 0.6667 0.7168
Zn 0.6667 0.3333 0.2832
Mg 0.0000 0.0000 0.5000
Pm 0.0000 0.0000 0.0000


This record from Alexandria via LeMat-Bulk describes a geometry-optimized PmMgZnGa structure. The functional is PBE-GGA.

Computed properties:
D(E_F) ... 0.55 states/eV per atom
Energy of formation from the pure elements ... -390 meV/atom
M_tot ... 0.00 μB/f.u.
Theoretical density ... 5.90 g/cm3
Total DFT energy (no corrections) ... -3.052 eV per atom
Volume ... 85.6 Å³/cell

a = 4.9476 Å, b = 4.9476 Å, c = 4.9476 Å
α = 60.00°, β = 60.00°, γ = 60.00°
Fractional coordinates of all 4 atoms:
Zn 0.7500 0.7500 0.7500
Pm 0.5000 0.5000 0.5000
Mg 0.0000 0.0000 0.0000
Ga 0.2500 0.2500 0.2500


This record from Alexandria via LeMat-Bulk describes a geometry-optimized Pm2MgZn4Ga3 structure. The functional is PBE-GGA.

Computed properties:
D(E_F) ... 0.39 states/eV per atom
Energy of formation from the pure elements ... -432 meV/atom
M_tot ... 0.00 μB/f.u.
Theoretical density ... 6.64 g/cm3
Total DFT energy (no corrections) ... -2.959 eV per atom
Volume ... 196.4 Å³/cell

a = 4.2613 Å, b = 4.2613 Å, c = 10.8146 Å
α = 90.00°, β = 90.00°, γ = 90.00°
Fractional coordinates of all 10 atoms:
Zn 0.5000 0.0000 0.6431
Zn 0.5000 0.5000 0.0000
Zn 0.0000 0.0000 0.0000
Zn 0.0000 0.5000 0.3569
Pm 0.5000 0.0000 0.2358
Pm 0.0000 0.5000 0.7642
Ga 0.0000 0.5000 0.1322
Ga 0.5000 0.0000 0.8678
Ga 0.0000 0.0000 0.5000
Mg 0.5000 0.5000 0.5000


Copy entry 4 word for word.
This record from Alexandria via LeMat-Bulk describes a geometry-optimized PmMgZn2Ga2 structure. The functional is PBE-GGA.

Computed properties:
D(E_F) ... 0.35 states/eV per atom
Energy of formation from the pure elements ... -419 meV/atom
M_tot ... 0.00 μB/f.u.
Theoretical density ... 6.26 g/cm3
Total DFT energy (no corrections) ... -2.910 eV per atom
Volume ... 116.6 Å³/cell

a = 4.3963 Å, b = 4.3963 Å, c = 6.9649 Å
α = 90.00°, β = 90.00°, γ = 120.00°
Fractional coordinates of all 6 atoms:
Ga 0.6667 0.3333 0.7395
Ga 0.3333 0.6667 0.2605
Zn 0.3333 0.6667 0.7168
Zn 0.6667 0.3333 0.2832
Mg 0.0000 0.0000 0.5000
Pm 0.0000 0.0000 0.0000